# 1
The following is a PBE calculation of a relaxed Y2Zn2Sn crystal, from Alexandria via LeMat-Bulk.

The structure in CIF format:
```
data_Y2Zn2Sn
_space_group_name_H-M_alt 'I m m m'
_space_group_IT_number 71
_space_group_name_Hall '-I 2 2'
_cell_length_a 4.242
_cell_length_b 5.926
_cell_length_c 9.133
_cell_angle_alpha 90.00
_cell_angle_beta 90.00
_cell_angle_gamma 90.00
loop_
_atom_site_label
_atom_site_type_symbol
_atom_site_fract_x
_atom_site_fract_y
_atom_site_fract_z
_atom_site_occupancy
Y1 Y 0.000 0.000 0.214 1
Zn1 Zn 0.000 0.294 0.500 1
Sn1 Sn 0.000 0.500 0.000 1
```

- Formation enthalpy at 0 K: -0.46 eV per atom
- Size of the total moment: 0.4 μB/f.u.
- Crystal system: orthorhombic


# 2
The following is a PBE calculation of a relaxed Ca2IrPdO6 crystal, from Alexandria via LeMat-Bulk.

The structure in CIF format:
```
data_Ca2IrPdO6
_space_group_name_H-M_alt 'P 4 m m'
_space_group_IT_number 99
_cell_length_a 5.537
_cell_length_b 5.537
_cell_length_c 4.337
_cell_angle_alpha 90.00
_cell_angle_beta 90.00
_cell_angle_gamma 90.00
loop_
_space_group_symop_operation_xyz
'x,y,z'
'-y,x,z'
'-x,-y,z'
'y,-x,z'
'-x,y,z'
'y,x,z'
'x,-y,z'
'-y,-x,z'
loop_
_atom_site_label
_atom_site_type_symbol
_atom_site_fract_x
_atom_site_fract_y
_atom_site_fract_z
_atom_site_occupancy
Ca1 Ca 0.000 0.500 0.000 1
Ir1 Ir 0.000 0.000 0.573 1
Pd1 Pd 0.500 0.500 0.585 1
O1 O 0.000 0.000 0.134 1
O2 O 0.241 0.241 0.671 1
O3 O 0.500 0.500 0.109 1
```

- Size of the total moment: 1.4 μB/f.u.
- Crystal system: tetragonal
- Uncorrected formation energy: -1.372 eV per atom


# 3
The following is a PBE calculation of a relaxed Pm6ZnS5 crystal, from Alexandria via LeMat-Bulk.

The structure in CIF format:
```
data_Pm6ZnS5
_space_group_name_H-M_alt 'C 1 2/m 1'
_space_group_IT_number 12
_cell_length_a 7.062
_cell_length_b 12.212
_cell_length_c 7.031
_cell_angle_alpha 90.00
_cell_angle_beta 109.44
_cell_angle_gamma 90.00
loop_
_space_group_symop_operation_xyz
'x,y,z'
'-x,-y,-z'
'-x,y,-z'
'x,-y,z'
'x+1/2,y+1/2,z'
'-x+1/2,-y+1/2,-z'
'-x+1/2,y+1/2,-z'
'x+1/2,-y+1/2,z'
loop_
_atom_site_label
_atom_site_type_symbol
_atom_site_fract_x
_atom_site_fract_y
_atom_site_fract_z
_atom_site_occupancy
Pm1 Pm 0.246 0.000 0.252 1
Pm2 Pm 0.246 0.170 0.747 1
Zn1 Zn 0.000 0.500 0.000 1
S1 S 0.000 0.000 0.500 1
S2 S 0.000 0.166 0.000 1
S3 S 0.000 0.334 0.500 1
```

- Size of the total moment: 0.0 μB/f.u.
- Crystal system: monoclinic
- Uncorrected formation energy: -1.739 eV per atom